Arrangement w

First-principles (GGA-PBE) data for a relaxed structure of BPdAu3, as listed in the Alexandria database.

The total magnetization is 0.0 μB/f.u.

The space group is Pm-3m (No. 221) and the conventional cell measures 5.064, 5.064 and 5.064 Å, with angles of 90.00, 90.00 and 90.00 degrees. The asymmetric unit holds B at (0.000, 0.000, 0.000), Pd at (0.500, 0.500, 0.500) and Au at (0.000, 0.500, 0.500).

Arrangement x

First-principles (GGA-PBE) data for a relaxed structure of BPdAu3, as listed in the Alexandria database.

The total magnetization is 0.0 μB/f.u.

The space group is Pm-3m (No. 221) and the conventional cell measures 4.341, 4.341 and 4.341 Å, with angles of 90.00, 90.00 and 90.00 degrees. The asymmetric unit holds B at (0.000, 0.000, 0.000), Pd at (0.500, 0.500, 0.500) and Au at (0.000, 0.000, 0.500).

The structure with the least stability is arrangement w.

Arrangement w

First-principles (GGA-PBE) data for a relaxed structure of Ta2BPdAu, as listed in the Alexandria database.

The total magnetization is 0.0 μB/f.u.

The space group is P4/mmm (No. 123) and the conventional cell measures 4.936, 4.936 and 3.858 Å, with angles of 90.00, 90.00 and 90.00 degrees. The asymmetric unit holds Ta at (0.000, 0.500, 0.000), B at (0.000, 0.000, 0.500), Pd at (0.000, 0.000, 0.000) and Au at (0.500, 0.500, 0.500).

Arrangement x

First-principles (GGA-PBE) data for a relaxed structure of Ta2BPdAu, as listed in the Alexandria database.

The total magnetization is 0.0 μB/f.u.

The space group is P4/mmm (No. 123) and the conventional cell measures 4.791, 4.791 and 4.899 Å, with angles of 90.00, 90.00 and 90.00 degrees. The asymmetric unit holds Ta at (0.000, 0.500, 0.000), B at (0.000, 0.000, 0.500), Pd at (0.500, 0.500, 0.000) and Au at (0.500, 0.500, 0.500).

The structure with the least stability is arrangement x.

Arrangement w

First-principles (GGA-PBE) data for a relaxed structure of B2Pt2Au, as listed in the Alexandria database.

The total magnetization is 0.0 μB/f.u.

The space group is I4/mmm (No. 139) and the conventional cell measures 3.205, 3.205 and 12.814 Å, with angles of 90.00, 90.00 and 90.00 degrees. The asymmetric unit holds B at (0.000, 0.500, 0.250), Pt at (0.000, 0.000, 0.140) and Au at (0.000, 0.000, 0.500).

Arrangement x

First-principles (GGA-PBE) data for a relaxed structure of B2Pt2Au, as listed in the Alexandria database.

The total magnetization is 0.0 μB/f.u.

The space group is P4/mbm (No. 127) and the conventional cell measures 6.897, 6.897 and 2.700 Å, with angles of 90.00, 90.00 and 90.00 degrees. The asymmetric unit holds B at (0.137, 0.363, 0.000), Pt at (0.143, 0.643, 0.500) and Au at (0.000, 0.000, 0.500).

The structure with the least stability is arrangement x.

Arrangement w

First-principles (GGA-PBE) data for a relaxed structure of B2PtAu2, as listed in the Alexandria database.

The total magnetization is 0.0 μB/f.u.

The space group is P4/mbm (No. 127) and the conventional cell measures 5.643, 5.643 and 4.272 Å, with angles of 90.00, 90.00 and 90.00 degrees. The asymmetric unit holds B at (0.105, 0.395, 0.000), Pt at (0.000, 0.000, 0.000) and Au at (0.195, 0.305, 0.500).

Arrangement x

First-principles (GGA-PBE) data for a relaxed structure of B2PtAu2, as listed in the Alexandria database.

The total magnetization is 0.0 μB/f.u.

The space group is I4/mmm (No. 139) and the conventional cell measures 4.035, 4.035 and 8.242 Å, with angles of 90.00, 90.00 and 90.00 degrees. The asymmetric unit holds B at (0.000, 0.000, 0.098), Pt at (0.000, 0.000, 0.500) and Au at (0.000, 0.500, 0.250).

The structure with the least stability is arrangement x.

Arrangement w

First-principles (GGA-PBE) data for a relaxed structure of RbB2Au, as listed in the Alexandria database.

The total magnetization is 0.0 μB/f.u.

The space group is Fm-3m (No. 225) and the conventional cell measures 6.525, 6.525 and 6.525 Å, with angles of 90.00, 90.00 and 90.00 degrees. The asymmetric unit holds Rb at (0.000, 0.000, 0.000), B at (0.250, 0.250, 0.250) and Au at (0.000, 0.000, 0.500).

Arrangement x

First-principles (GGA-PBE) data for a relaxed structure of RbB2Au, as listed in the Alexandria database.

The total magnetization is 0.0 μB/f.u.

The space group is I4_1/amd (No. 141, origin choice 2) and the conventional cell measures 5.643, 5.643 and 11.766 Å, with angles of 90.00, 90.00 and 90.00 degrees. The asymmetric unit holds Rb at (0.000, 0.250, 0.375), B at (0.000, 0.000, 0.000) and Au at (0.000, 0.250, 0.875).

The structure with the least stability is arrangement w.

Arrangement w

First-principles (GGA-PBE) data for a relaxed structure of RbB2Au2, as listed in the Alexandria database.

The total magnetization is 0.6 μB/f.u.

The space group is P4/mbm (No. 127) and the conventional cell measures 8.054, 8.054 and 3.480 Å, with angles of 90.00, 90.00 and 90.00 degrees. The asymmetric unit holds Rb at (0.000, 0.000, 0.000), B at (0.072, 0.428, 0.000) and Au at (0.128, 0.628, 0.500).

Arrangement x

First-principles (GGA-PBE) data for a relaxed structure of RbB2Au2, as listed in the Alexandria database.

The total magnetization is 0.0 μB/f.u.

The space group is I4/mmm (No. 139) and the conventional cell measures 4.395, 4.395 and 8.833 Å, with angles of 90.00, 90.00 and 90.00 degrees. The asymmetric unit holds Rb at (0.000, 0.000, 0.000), B at (0.000, 0.000, 0.401) and Au at (0.000, 0.500, 0.250).

The structure with the least stability is arrangement w.

Arrangement w

First-principles (GGA-PBE) data for a relaxed structure of ReB2RhAu, as listed in the Alexandria database.

The total magnetization is 0.0 μB/f.u.

The space group is Pmm2 (No. 25) and the conventional cell measures 2.917, 2.918 and 7.180 Å, with angles of 90.00, 90.00 and 90.00 degrees. The asymmetric unit holds Re at (0.000, 0.000, 0.000), B at (0.500, 0.000, 0.237), B at (0.500, 0.500, 0.893), Rh at (0.000, 0.500, 0.340) and Au at (0.500, 0.000, 0.636).

Arrangement x

First-principles (GGA-PBE) data for a relaxed structure of ReB2RhAu, as listed in the Alexandria database.

The total magnetization is 0.0 μB/f.u.

The space group is Cm (No. 8) and the conventional cell measures 13.138, 2.970 and 3.087 Å, with angles of 90.00, 90.04 and 90.00 degrees. The asymmetric unit holds Re at (0.000, 0.000, 0.000), B at (0.367, 0.500, 0.414), B at (0.451, 0.000, 0.473), Rh at (0.313, 0.000, 0.868) and Au at (0.160, 0.500, 0.385).

Arrangement y

First-principles (GGA-PBE) data for a relaxed structure of ReB2RhAu, as listed in the Alexandria database.

The total magnetization is 0.0 μB/f.u.

The space group is Imm2 (No. 44) and the conventional cell measures 2.910, 2.932 and 14.280 Å, with angles of 90.00, 90.00 and 90.00 degrees. The asymmetric unit holds Re at (0.000, 0.000, 0.000), B at (0.000, 0.000, 0.553), B at (0.000, 0.500, 0.882), Rh at (0.000, 0.500, 0.329) and Au at (0.000, 0.500, 0.680).

The structure with the least stability is arrangement x.

Arrangement w

First-principles (GGA-PBE) data for a relaxed structure of ReB2RhAu, as listed in the Alexandria database.

The total magnetization is 0.0 μB/f.u.

The space group is Imm2 (No. 44) and the conventional cell measures 2.897, 2.998 and 14.125 Å, with angles of 90.00, 90.00 and 90.00 degrees. The asymmetric unit holds Re at (0.000, 0.000, 0.000), B at (0.000, 0.000, 0.427), B at (0.000, 0.000, 0.562), Rh at (0.000, 0.500, 0.328) and Au at (0.000, 0.500, 0.683).

Arrangement x

First-principles (GGA-PBE) data for a relaxed structure of ReB2RhAu, as listed in the Alexandria database.

The total magnetization is 0.0 μB/f.u.

The space group is Cm (No. 8) and the conventional cell measures 13.744, 3.036 and 3.041 Å, with angles of 90.00, 102.78 and 90.00 degrees. The asymmetric unit holds Re at (0.000, 0.000, 0.000), B at (0.174, 0.000, 0.172), B at (0.462, 0.000, 0.462), Rh at (0.144, 0.500, 0.641) and Au at (0.318, 0.000, 0.819).

The structure with the least stability is arrangement x.

Arrangement w

First-principles (GGA-PBE) data for a relaxed structure of BRh3Au, as listed in the Alexandria database.

The total magnetization is 0.0 μB/f.u.

The space group is Pm-3m (No. 221) and the conventional cell measures 4.127, 4.127 and 4.127 Å, with angles of 90.00, 90.00 and 90.00 degrees. The asymmetric unit holds B at (0.000, 0.000, 0.000), Rh at (0.000, 0.000, 0.500) and Au at (0.500, 0.500, 0.500).

Arrangement x

First-principles (GGA-PBE) data for a relaxed structure of BRh3Au, as listed in the Alexandria database.

The total magnetization is 1.6 μB/f.u.

The space group is Pm-3m (No. 221) and the conventional cell measures 4.872, 4.872 and 4.872 Å, with angles of 90.00, 90.00 and 90.00 degrees. The asymmetric unit holds B at (0.000, 0.000, 0.000), Rh at (0.000, 0.500, 0.500) and Au at (0.500, 0.500, 0.500).

Arrangement y

First-principles (GGA-PBE) data for a relaxed structure of BRh3Au, as listed in the Alexandria database.

The total magnetization is 0.0 μB/f.u.

The space group is R-3m (No. 166, hexagonal axes) and the conventional cell measures 5.5738, 5.5738 and 15.5105 Å, with angles of 90.00, 90.00 and 120.00 degrees. The asymmetric unit holds B at (0.0000, 0.0000, 0.1667), Rh at (0.0029, 0.5015, 0.5904) and Au at (0.0000, 0.0000, 0.4100).

The structure with the least stability is arrangement x.

Arrangement w

First-principles (GGA-PBE) data for a relaxed structure of BRhAu3, as listed in the Alexandria database.

The total magnetization is 0.9 μB/f.u.

The space group is Pm-3m (No. 221) and the conventional cell measures 4.324, 4.324 and 4.324 Å, with angles of 90.00, 90.00 and 90.00 degrees. The asymmetric unit holds B at (0.000, 0.000, 0.000), Rh at (0.500, 0.500, 0.500) and Au at (0.000, 0.000, 0.500).

Arrangement x

First-principles (GGA-PBE) data for a relaxed structure of BRhAu3, as listed in the Alexandria database.

The total magnetization is 1.2 μB/f.u.

The space group is Pm-3m (No. 221) and the conventional cell measures 5.038, 5.038 and 5.038 Å, with angles of 90.00, 90.00 and 90.00 degrees. The asymmetric unit holds B at (0.000, 0.000, 0.000), Rh at (0.500, 0.500, 0.500) and Au at (0.000, 0.500, 0.500).

The structure with the least stability is arrangement x.